A plane-wave DFT calculation with GGA-PBE was carried out for crystalline CrAg2Ru at its relaxed geometry.

ΔE to the lowest computed polymorph   18.8 kJ/mol of atoms
Crystal system   monoclinic
Magnetic moment   2.37 μB/cell
Energy of formation   471 meV/atom
Symmetry   Cm

a b c (Å): 4.7845 4.7845 5.0140
angles (deg): 78.32 78.32 34.96
Last column: magnetic moment on the atom in μB.
Atoms (fractional coordinates):
Cr (0.4888, 0.4888, 0.5397)  2.91
Ru (0.7630, 0.7630, 0.7122)  -0.82
Ag (0.2451, 0.2451, 0.2381)  0.01
Ag (0.0030, 0.0030, 0.0100)  0.03